Record 1
Here is a geometry-optimized KMn2Pt structure from Alexandria via LeMat-Bulk. Energies are from GGA-PBEsol.

Cell: 2.853 2.853 8.632 Å, 90.00 90.01 90.00°
Sites, in units of the cell vectors:
Mn1 0.500 0.500 0.254
Mn2 0.000 0.000 0.078
K1 0.500 0.500 0.733
Pt1 0.000 0.000 0.434

## Properties
Fermi-level density of states ... 5.21 states/eV/f.u.
E_form ... 203 kJ/mol of formula units
Distance to the lowest polymorph of the same formula ... 0 meV/atom



Record 2
Here is a geometry-optimized CsCdN2O structure from Alexandria via LeMat-Bulk. Energies are from GGA-PBEsol.

Cell: 4.261 4.357 4.357 Å, 90.00 90.00 90.00°
Sites, in units of the cell vectors:
N1 0.000 0.000 0.500
N2 0.000 0.500 0.000
O1 0.500 0.000 0.000
Cs1 0.000 0.000 0.000
Cd1 0.500 0.500 0.500

## Properties
Fermi-level density of states ... 2.97 states/eV/f.u.
Formation energy from raw total energies ... 2.00 eV per atom



Record 3
Here is a geometry-optimized MnNiTe2 structure from Alexandria via LeMat-Bulk. Energies are from GGA-PBEsol.

Cell: 4.804 4.804 4.804 Å, 60.00 60.00 60.00°
Sites, in units of the cell vectors:
Te1 0.750 0.750 0.750
Te2 0.000 0.000 0.000
Ni1 0.250 0.250 0.250
Mn1 0.500 0.500 0.500

## Properties
Fermi-level density of states ... 2.99 states/eV/f.u.
Formation energy from raw total energies ... 0.70 eV per atom



Record 4
Here is a geometry-optimized BaSn structure from Alexandria via LeMat-Bulk. Energies are from GGA-PBEsol.

Cell: 4.629 5.269 6.796 Å, 67.19 90.00 90.00°
Sites, in units of the cell vectors:
Ba1 0.750 0.136 0.727
Ba2 0.250 0.864 0.273
Sn1 0.750 0.427 0.146
Sn2 0.250 0.573 0.854

## Properties
Fermi-level density of states ... 0.69 states/eV/f.u.
E_form ... -140 kJ/mol of formula units



Record 5
Here is a geometry-optimized SrLi3Cd structure from Alexandria via LeMat-Bulk. Energies are from GGA-PBEsol.

Cell: 5.155 5.155 5.155 Å, 90.00 90.00 90.00°
Sites, in units of the cell vectors:
Li1 0.000 0.500 0.000
Li2 0.500 0.000 0.000
Li3 0.000 0.000 0.500
Cd1 0.000 0.000 0.000
Sr1 0.500 0.500 0.500

## Properties
Fermi-level density of states ... 3.71 states/eV/f.u.
E_form ... -1 kJ/mol of formula units



Record 6
Here is a geometry-optimized ReBiIN2 structure from Alexandria via LeMat-Bulk. Energies are from GGA-PBEsol.

Cell: 4.068 4.068 5.479 Å, 90.00 90.00 90.00°
Sites, in units of the cell vectors:
Bi1 0.500 0.500 0.500
N1 0.000 0.500 0.000
N2 0.500 0.000 0.000
Re1 0.000 0.000 0.000
I1 0.000 0.000 0.500

## Properties
Fermi-level density of states ... 3.85 states/eV/f.u.
Formation energy from raw total energies ... 0.97 eV per atom



Record 7
Here is a geometry-optimized Ca2ZnPb structure from Alexandria via LeMat-Bulk. Energies are from GGA-PBEsol.

Cell: 3.841 5.227 5.227 Å, 90.00 90.00 90.00°
Sites, in units of the cell vectors:
Ca1 0.000 0.000 0.125
Ca2 0.000 0.500 0.625
Pb1 0.500 0.000 0.625
Zn1 0.500 0.500 0.125

## Properties
Fermi-level density of states ... 1.73 states/eV/f.u.
E_form ... -159 kJ/mol of formula units



Record 8
Here is a geometry-optimized Sr5Si3 structure from Alexandria via LeMat-Bulk. Energies are from GGA-PBEsol.

Cell: 7.959 7.959 9.646 Å, 114.37 114.37 90.00°
Sites, in units of the cell vectors:
Si1 0.108 0.608 0.000
Si2 0.750 0.750 0.500
Si3 0.392 0.108 0.000
Si4 0.250 0.250 0.500
Si5 0.892 0.392 0.000
Si6 0.608 0.892 0.000
Sr1 0.962 0.822 0.284
Sr2 0.822 0.322 0.284
Sr3 0.178 0.678 0.716
Sr4 0.538 0.038 0.716
Sr5 0.462 0.962 0.284
Sr6 0.038 0.178 0.716
Sr7 0.322 0.462 0.284
Sr8 0.678 0.538 0.716
Sr9 0.000 0.000 0.000
Sr10 0.500 0.500 0.000

## Properties
Fermi-level density of states ... 4.18 states/eV/f.u.
Formation energy from raw total energies ... -0.43 eV per atom



Record 9
Here is a geometry-optimized CaFe2Ir structure from Alexandria via LeMat-Bulk. Energies are from GGA-PBEsol.

Cell: 2.729 3.968 5.966 Å, 90.00 102.51 90.00°
Sites, in units of the cell vectors:
Ir1 0.910 0.000 0.443
Fe1 0.093 0.000 0.065
Fe2 0.473 0.500 0.244
Ca1 0.523 0.500 0.748

## Properties
Fermi-level density of states ... 4.71 states/eV/f.u.
E_form ... 131 kJ/mol of formula units



Record 10
Here is a geometry-optimized KBa2MnTc structure from Alexandria via LeMat-Bulk. Energies are from GGA-PBEsol.

Cell: 4.842 6.024 6.024 Å, 90.00 90.00 90.00°
Sites, in units of the cell vectors:
Ba1 0.000 0.500 0.000
Ba2 0.000 0.000 0.500
Tc1 0.500 0.500 0.500
Mn1 0.500 0.000 0.000
K1 0.000 0.000 0.000

## Properties
Fermi-level density of states ... 5.86 states/eV/f.u.
E_form ... 957 kJ/mol of formula units



Record 11
Here is a geometry-optimized K2NaSbCl6 structure from Alexandria via LeMat-Bulk. Energies are from GGA-PBEsol.

Cell: 7.480 7.480 7.480 Å, 60.00 60.00 60.00°
Sites, in units of the cell vectors:
K1 0.250 0.250 0.250
K2 0.750 0.750 0.750
Sb1 0.000 0.000 0.000
Cl1 0.247 0.753 0.247
Cl2 0.753 0.247 0.753
Cl3 0.753 0.753 0.247
Cl4 0.247 0.753 0.753
Cl5 0.753 0.247 0.247
Cl6 0.247 0.247 0.753
Na1 0.500 0.500 0.500

## Properties
Fermi-level density of states ... 0.00 states/eV/f.u.
Formation energy from raw total energies ... -1.46 eV per atom



Record 12
Here is a geometry-optimized YTl3 structure from Alexandria via LeMat-Bulk. Energies are from GGA-PBEsol.

Cell: 3.518 3.518 10.291 Å, 90.00 90.00 120.00°
Sites, in units of the cell vectors:
Tl1 0.000 0.000 0.746
Tl2 0.333 0.667 0.000
Tl3 0.000 0.000 0.254
Y1 0.333 0.667 0.500

## Properties
Fermi-level density of states ... 2.38 states/eV/f.u.
E_form ... -39 kJ/mol of formula units



Record 13
Here is a geometry-optimized SrAlFe2 structure from Alexandria via LeMat-Bulk. Energies are from GGA-PBEsol.

Cell: 4.009 4.009 6.119 Å, 70.88 70.88 60.00°
Sites, in units of the cell vectors:
Fe1 0.016 0.016 0.951
Fe2 0.686 0.686 0.941
Sr1 0.490 0.490 0.530
Al1 0.302 0.302 0.095

## Properties
Fermi-level density of states ... 1.98 states/eV/f.u.
E_form ... 31 kJ/mol of formula units



Record 14
Here is a geometry-optimized AlTlO2 structure from Alexandria via LeMat-Bulk. Energies are from GGA-PBEsol.

Cell: 5.518 5.544 5.518 Å, 119.84 90.00 119.84°
Sites, in units of the cell vectors:
Tl1 0.000 0.000 0.000
Tl2 0.250 0.500 0.750
Al1 0.500 0.000 0.500
Al2 0.750 0.500 0.250
O1 0.625 0.750 0.286
O2 0.714 0.250 0.875
O3 0.125 0.750 0.464
O4 0.536 0.250 0.375

## Properties
Fermi-level density of states ... 0.00 states/eV/f.u.
Formation energy from raw total energies ... -2.10 eV per atom
Distance to the lowest polymorph of the same formula ... 0 meV/atom



Record 15
Here is a geometry-optimized MnHg2Sb structure from Alexandria via LeMat-Bulk. Energies are from GGA-PBEsol.

Cell: 3.054 3.054 9.032 Å, 90.00 90.00 90.24°
Sites, in units of the cell vectors:
Hg1 0.500 0.500 0.708
Hg2 0.000 0.000 0.983
Mn1 0.000 0.000 0.505
Sb1 0.500 0.500 0.304

## Properties
Fermi-level density of states ... 3.06 states/eV/f.u.
Formation energy from raw total energies ... 0.22 eV per atom



Record 16
Here is a geometry-optimized MgBe2Al structure from Alexandria via LeMat-Bulk. Energies are from GGA-PBEsol.

Cell: 3.105 4.121 4.121 Å, 91.50 90.00 90.00°
Sites, in units of the cell vectors:
Mg1 0.500 0.000 0.000
Al1 0.500 0.500 0.500
Be1 0.000 0.000 0.500
Be2 0.000 0.500 0.000

## Properties
Fermi-level density of states ... 1.33 states/eV/f.u.
E_form ... 135 kJ/mol of formula units



Record 17
Here is a geometry-optimized Cs3PdO structure from Alexandria via LeMat-Bulk. Energies are from GGA-PBEsol.

Cell: 6.062 6.062 6.062 Å, 90.00 90.00 90.00°
Sites, in units of the cell vectors:
Cs1 0.000 0.500 0.000
Cs2 0.000 0.000 0.500
Cs3 0.500 0.000 0.000
O1 0.500 0.500 0.500
Pd1 0.000 0.000 0.000

## Properties
Fermi-level density of states ... 10.14 states/eV/f.u.
Formation energy from raw total energies ... 0.17 eV per atom



Record 18
Here is a geometry-optimized Y2TeBr structure from Alexandria via LeMat-Bulk. Energies are from GGA-PBEsol.

Cell: 6.530 6.530 8.076 Å, 113.85 113.85 90.00°
Sites, in units of the cell vectors:
Y1 0.625 0.608 0.750
Y2 0.392 0.875 0.250
Y3 0.858 0.375 0.250
Y4 0.125 0.142 0.750
Br1 0.500 0.500 0.000
Br2 0.750 0.250 0.500
Te1 0.000 0.000 0.000
Te2 0.250 0.750 0.500

## Properties
Fermi-level density of states ... 2.96 states/eV/f.u.
Formation energy from raw total energies ... -0.70 eV per atom



Record 19
Here is a geometry-optimized SrZn2Ir structure from Alexandria via LeMat-Bulk. Energies are from GGA-PBEsol.

Cell: 4.300 4.300 5.806 Å, 68.27 68.27 60.00°
Sites, in units of the cell vectors:
Sr1 0.000 0.000 0.000
Zn1 0.802 0.802 0.594
Zn2 0.198 0.198 0.406
Ir1 0.500 0.500 0.500

## Properties
Fermi-level density of states ... 2.27 states/eV/f.u.
E_form ... -94 kJ/mol of formula units



Record 20
Here is a geometry-optimized Ba3AgO structure from Alexandria via LeMat-Bulk. Energies are from GGA-PBEsol.

Cell: 5.423 5.423 5.423 Å, 90.00 90.00 90.00°
Sites, in units of the cell vectors:
O1 0.000 0.000 0.000
Ba1 0.000 0.500 0.000
Ba2 0.000 0.000 0.500
Ba3 0.500 0.000 0.000
Ag1 0.500 0.500 0.500

## Properties
Fermi-level density of states ... 5.30 states/eV/f.u.
Formation energy from raw total energies ... -1.00 eV per atom